{
  "formula": "CeZrCo",
  "functional": "PBE",
  "state": "optimized geometry",
  "cell": [[-1.514, -0.885, -3.740], [3.654, -1.850, -1.041], [-3.084, -2.271, 1.786]],
  "species": ["Ce", "Zr", "Co"],
  "frac_coords": [[0.706, 0.667, 0.333], [0.236, 0.333, 0.667], [0.059, 0.000, 0.000]],
  "magmom_total_mub_per_cell": 0.00,
  "space_group": "P3m1",
  "delta_e_f_ev_per_atom": 0.076
}

***

{
  "formula": "CeZr2Co",
  "functional": "PBE",
  "state": "optimized geometry",
  "cell": [[-0.224, 2.957, -3.727], [1.539, -1.433, -4.273], [-3.121, -0.817, -3.504]],
  "species": ["Zr", "Zr", "Ce", "Co"],
  "frac_coords": [[0.750, 0.750, 0.750], [0.250, 0.250, 0.250], [0.500, 0.500, 0.500], [0.000, 0.000, 0.000]],
  "magmom_total_mub_per_cell": 0.00,
  "space_group": "Fm-3m",
  "delta_e_f_ev_per_atom": 0.108
}

***

{
  "formula": "CeZr2Co",
  "functional": "PBE",
  "state": "optimized geometry",
  "cell": [[4.080, 0.000, 0.000], [2.040, 3.533, 0.000], [2.040, 1.178, 6.425]],
  "species": ["Zr", "Zr", "Co", "Ce"],
  "frac_coords": [[0.053, 0.053, 0.841], [0.279, 0.279, 0.163], [0.673, 0.673, 0.981], [0.495, 0.495, 0.516]],
  "magmom_total_mub_per_cell": 1.05,
  "space_group": "R3m",
  "delta_e_f_ev_per_atom": 0.117
}

***

{
  "formula": "CeZr2Co",
  "functional": "PBE",
  "state": "optimized geometry",
  "cell": [[-1.303, 3.013, 0.719], [-2.553, -3.822, 3.501], [6.530, 1.339, 6.222]],
  "species": ["Co", "Co", "Zr", "Zr", "Zr", "Zr", "Ce", "Ce"],
  "frac_coords": [[0.731, 0.462, 0.250], [0.269, 0.538, 0.750], [0.863, 0.725, 0.556], [0.137, 0.275, 0.056], [0.863, 0.725, 0.944], [0.137, 0.275, 0.444], [0.414, 0.828, 0.250], [0.586, 0.172, 0.750]],
  "magmom_total_mub_per_cell": 0.00,
  "space_group": "P2_1/m",
  "delta_e_f_ev_per_atom": -0.138
}

***

{
  "formula": "CeZr3Co8",
  "functional": "PBE",
  "state": "optimized geometry",
  "cell": [[-2.549, -4.191, 0.154], [1.908, -3.954, 2.194], [-3.525, -0.444, 7.752]],
  "species": ["Ce", "Co", "Co", "Co", "Co", "Co", "Co", "Co", "Co", "Zr", "Zr", "Zr"],
  "frac_coords": [[0.875, 0.875, 0.375], [0.937, 0.433, 0.693], [0.433, 0.937, 0.693], [0.688, 0.688, 0.937], [0.940, 0.439, 0.182], [0.439, 0.439, 0.182], [0.439, 0.940, 0.182], [0.937, 0.937, 0.693], [0.187, 0.187, 0.439], [0.375, 0.375, 0.875], [0.499, 0.499, 0.503], [0.001, 0.001, 0.997]],
  "magmom_total_mub_per_cell": 0.00,
  "space_group": "R3m",
  "delta_e_f_ev_per_atom": -0.264
}

***

{
  "formula": "CeZr2Co",
  "functional": "PBE",
  "state": "optimized geometry",
  "cell": [[3.223, 0.000, 0.000], [0.000, 3.223, 0.000], [0.000, 0.000, 7.988]],
  "species": ["Co", "Zr", "Zr", "Ce"],
  "frac_coords": [[0.500, 0.500, 0.000], [0.000, 0.000, 0.806], [0.000, 0.000, 0.194], [0.500, 0.500, 0.500]],
  "magmom_total_mub_per_cell": 0.72,
  "space_group": "P4/mmm",
  "delta_e_f_ev_per_atom": -0.065
}

***

{
  "formula": "CeZrCo",
  "functional": "PBE",
  "state": "optimized geometry",
  "cell": [[-2.715, 1.348, -1.066], [-0.586, -2.600, -1.794], [-1.351, -1.829, 5.967]],
  "species": ["Zr", "Ce", "Co"],
  "frac_coords": [[0.297, 0.297, 0.594], [0.020, 0.020, 0.040], [0.683, 0.683, 0.365]],
  "magmom_total_mub_per_cell": 0.61,
  "space_group": "I4mm",
  "delta_e_f_ev_per_atom": -0.044
}

***

{
  "formula": "CeZr2Co9",
  "functional": "PBE",
  "state": "optimized geometry",
  "cell": [[4.681, 0.000, 1.393], [2.133, 4.167, 1.393], [0.026, 0.016, 8.475]],
  "species": ["Zr", "Zr", "Co", "Co", "Co", "Co", "Co", "Co", "Co", "Co", "Co", "Ce"],
  "frac_coords": [[0.860, 0.860, 0.420], [0.140, 0.140, 0.580], [0.412, 0.921, 0.254], [0.588, 0.079, 0.746], [0.588, 0.588, 0.746], [0.079, 0.588, 0.746], [0.664, 0.664, 0.007], [0.500, 0.500, 0.500], [0.336, 0.336, 0.993], [0.921, 0.412, 0.254], [0.412, 0.412, 0.254], [0.000, 0.000, 0.000]],
  "magmom_total_mub_per_cell": 8.27,
  "space_group": "R-3m",
  "delta_e_f_ev_per_atom": -0.235
}